DFT (PBE) results for a relaxed structure of NaTm2PaS6. Values from VASP.

Properties
* symmetry: R3, No. 146
* ρ: 5.13 Mg/m³
* formation energy from raw total energies: -1.767 eV per atom

Quantum ESPRESSO input file:
```
&SYSTEM
  ibrav = 0, nat = 10, ntyp = 4
/
ATOMIC_SPECIES
Na 22.99 Na.upf
Tm 168.93 Tm.upf
Pa 231.04 Pa.upf
S 32.06 S.upf
CELL_PARAMETERS angstrom
3.442 1.987 6.181
-3.442 1.987 6.181
0.000 -3.975 6.181
ATOMIC_POSITIONS crystal
Na 0.000 0.000 0.000
Tm 0.285 0.285 0.285
Tm 0.795 0.795 0.795
Pa 0.481 0.481 0.481
S 0.079 0.658 0.425
S 0.204 0.571 0.879
S 0.425 0.079 0.658
S 0.571 0.879 0.204
S 0.658 0.425 0.079
S 0.879 0.204 0.571
```

DFT (PBE) results for a relaxed structure of Na2TmPaS4. Values from VASP.

Properties
* symmetry: P2/m, No. 10
* ρ: 5.27 Mg/m³
* formation energy from raw total energies: -1.619 eV per atom

Quantum ESPRESSO input file:
```
&SYSTEM
  ibrav = 0, nat = 8, ntyp = 4
/
ATOMIC_SPECIES
Na 22.99 Na.upf
Tm 168.93 Tm.upf
Pa 231.04 Pa.upf
S 32.06 S.upf
CELL_PARAMETERS angstrom
6.865 0.000 0.000
0.000 3.896 0.000
-2.228 0.000 6.770
ATOMIC_POSITIONS crystal
Na 0.000 0.000 0.000
Na 0.500 0.500 0.000
Tm 0.000 0.500 0.500
Pa 0.500 0.000 0.500
S 0.240 0.000 0.727
S 0.249 0.500 0.267
S 0.751 0.500 0.733
S 0.760 0.000 0.273
```

DFT (PBE) results for a relaxed structure of NaUPa2S8. Values from VASP.

Properties
* symmetry: P2/m, No. 10
* ρ: 5.04 Mg/m³
* formation energy from raw total energies: -1.349 eV per atom

Quantum ESPRESSO input file:
```
&SYSTEM
  ibrav = 0, nat = 12, ntyp = 4
/
ATOMIC_SPECIES
Na 22.99 Na.upf
U 238.03 U.upf
Pa 231.04 Pa.upf
S 32.06 S.upf
CELL_PARAMETERS angstrom
6.184 0.000 0.000
0.000 8.214 0.000
-0.149 0.000 6.349
ATOMIC_POSITIONS crystal
Na 0.000 0.000 0.000
U 0.000 0.500 0.000
Pa 0.500 0.247 0.500
Pa 0.500 0.753 0.500
S 0.230 0.271 0.174
S 0.230 0.729 0.174
S 0.280 0.500 0.671
S 0.291 0.000 0.652
S 0.709 0.000 0.348
S 0.720 0.500 0.329
S 0.770 0.271 0.826
S 0.770 0.729 0.826
```

DFT (PBE) results for a relaxed structure of NaUPaS4. Values from VASP.

Properties
* symmetry: Imma, No. 74
* ρ: 5.36 Mg/m³
* formation energy from raw total energies: -1.446 eV per atom

Quantum ESPRESSO input file:
```
&SYSTEM
  ibrav = 0, nat = 14, ntyp = 4
/
ATOMIC_SPECIES
Na 22.99 Na.upf
U 238.03 U.upf
Pa 231.04 Pa.upf
S 32.06 S.upf
CELL_PARAMETERS angstrom
-4.062 4.103 5.770
4.062 -4.103 5.770
4.062 4.103 -5.770
ATOMIC_POSITIONS crystal
Na 0.378 0.128 0.250
Na 0.622 0.872 0.750
U 0.000 0.000 0.500
U 0.000 0.500 0.000
Pa 0.000 0.500 0.500
Pa 0.500 0.500 0.000
S 0.211 0.736 0.475
S 0.239 0.264 0.975
S 0.239 0.265 0.526
S 0.239 0.712 0.974
S 0.761 0.288 0.026
S 0.761 0.735 0.474
S 0.761 0.736 0.025
S 0.789 0.264 0.525
```

DFT (PBE) results for a relaxed structure of Na4U3PaS8. Values from VASP.

Properties
* symmetry: R-3m, No. 166
* ρ: 5.87 Mg/m³
* formation energy from raw total energies: -1.382 eV per atom

Quantum ESPRESSO input file:
```
&SYSTEM
  ibrav = 0, nat = 16, ntyp = 4
/
ATOMIC_SPECIES
Na 22.99 Na.upf
U 238.03 U.upf
Pa 231.04 Pa.upf
S 32.06 S.upf
CELL_PARAMETERS angstrom
3.927 2.267 6.850
-3.927 2.267 6.850
0.000 -4.534 6.850
ATOMIC_POSITIONS crystal
Na 0.000 0.000 0.000
Na 0.000 0.500 0.500
Na 0.500 0.000 0.500
Na 0.500 0.500 0.000
U 0.000 0.000 0.500
U 0.000 0.500 0.000
U 0.500 0.000 0.000
Pa 0.500 0.500 0.500
S 0.244 0.244 0.244
S 0.246 0.744 0.744
S 0.256 0.256 0.754
S 0.256 0.754 0.256
S 0.744 0.246 0.744
S 0.744 0.744 0.246
S 0.754 0.256 0.256
S 0.756 0.756 0.756
```

DFT (PBE) results for a relaxed structure of NaU2PaS8. Values from VASP.

Properties
* symmetry: P2/m, No. 10
* ρ: 5.13 Mg/m³
* formation energy from raw total energies: -1.251 eV per atom

Quantum ESPRESSO input file:
```
&SYSTEM
  ibrav = 0, nat = 12, ntyp = 4
/
ATOMIC_SPECIES
Na 22.99 Na.upf
U 238.03 U.upf
Pa 231.04 Pa.upf
S 32.06 S.upf
CELL_PARAMETERS angstrom
6.184 0.000 0.000
0.000 8.110 0.000
-0.169 0.000 6.364
ATOMIC_POSITIONS crystal
Na 0.000 0.000 0.000
U 0.500 0.248 0.500
U 0.500 0.752 0.500
Pa 0.000 0.500 0.000
S 0.232 0.267 0.177
S 0.232 0.733 0.177
S 0.281 0.500 0.670
S 0.293 0.000 0.651
S 0.707 0.000 0.349
S 0.719 0.500 0.330
S 0.768 0.267 0.823
S 0.768 0.733 0.823
```

DFT (PBE) results for a relaxed structure of Na3U2PaS6. Values from VASP.

Properties
* symmetry: C2/m, No. 12
* ρ: 5.86 Mg/m³
* formation energy from raw total energies: -1.391 eV per atom

Quantum ESPRESSO input file:
```
&SYSTEM
  ibrav = 0, nat = 12, ntyp = 4
/
ATOMIC_SPECIES
Na 22.99 Na.upf
U 238.03 U.upf
Pa 231.04 Pa.upf
S 32.06 S.upf
CELL_PARAMETERS angstrom
3.397 -5.884 0.000
3.397 5.884 0.000
-2.264 0.000 6.865
ATOMIC_POSITIONS crystal
Na 0.000 0.000 0.000
Na 0.333 0.667 0.000
Na 0.667 0.333 0.000
U 0.167 0.833 0.500
U 0.833 0.167 0.500
Pa 0.500 0.500 0.500
S 0.090 0.422 0.266
S 0.246 0.246 0.734
S 0.422 0.090 0.266
S 0.578 0.910 0.734
S 0.754 0.754 0.266
S 0.910 0.578 0.734
```

DFT (PBE) results for a relaxed structure of Na2U2PaS6. Values from VASP.

Properties
* symmetry: C2/m, No. 12
* ρ: 5.66 Mg/m³
* formation energy from raw total energies: -1.420 eV per atom

Quantum ESPRESSO input file:
```
&SYSTEM
  ibrav = 0, nat = 11, ntyp = 4
/
ATOMIC_SPECIES
Na 22.99 Na.upf
U 238.03 U.upf
Pa 231.04 Pa.upf
S 32.06 S.upf
CELL_PARAMETERS angstrom
3.429 -5.932 0.000
3.429 5.932 0.000
-2.276 0.000 6.824
ATOMIC_POSITIONS crystal
Na 0.168 0.832 0.000
Na 0.832 0.168 0.000
U 0.336 0.664 0.500
U 0.664 0.336 0.500
Pa 0.000 0.000 0.500
S 0.070 0.406 0.723
S 0.252 0.252 0.272
S 0.406 0.070 0.723
S 0.594 0.930 0.277
S 0.748 0.748 0.728
S 0.930 0.594 0.277
```

DFT (PBE) results for a relaxed structure of Na3PaV2S6. Values from VASP.

Properties
* symmetry: C2/m, No. 12
* ρ: 4.26 Mg/m³
* formation energy from raw total energies: -1.200 eV per atom

Quantum ESPRESSO input file:
```
&SYSTEM
  ibrav = 0, nat = 12, ntyp = 4
/
ATOMIC_SPECIES
Na 22.99 Na.upf
Pa 231.04 Pa.upf
V 50.94 V.upf
S 32.06 S.upf
CELL_PARAMETERS angstrom
3.179 -5.283 0.000
3.179 5.283 0.000
-1.949 0.000 6.890
ATOMIC_POSITIONS crystal
Na 0.000 0.000 0.000
Na 0.331 0.669 0.000
Na 0.669 0.331 0.000
Pa 0.500 0.500 0.500
V 0.132 0.868 0.500
V 0.868 0.132 0.500
S 0.069 0.428 0.294
S 0.233 0.233 0.734
S 0.428 0.069 0.294
S 0.572 0.931 0.706
S 0.767 0.767 0.266
S 0.931 0.572 0.706
```

DFT (PBE) results for a relaxed structure of Na4Y3PaS8. Values from VASP.

Properties
* symmetry: R-3m, No. 166
* ρ: 3.81 Mg/m³
* formation energy from raw total energies: -1.727 eV per atom

Quantum ESPRESSO input file:
```
&SYSTEM
  ibrav = 0, nat = 16, ntyp = 4
/
ATOMIC_SPECIES
Na 22.99 Na.upf
Y 88.91 Y.upf
Pa 231.04 Pa.upf
S 32.06 S.upf
CELL_PARAMETERS angstrom
3.983 2.300 6.713
-3.983 2.300 6.713
0.000 -4.600 6.713
ATOMIC_POSITIONS crystal
Na 0.000 0.000 0.000
Na 0.000 0.500 0.500
Na 0.500 0.000 0.500
Na 0.500 0.500 0.000
Y 0.000 0.000 0.500
Y 0.000 0.500 0.000
Y 0.500 0.000 0.000
Pa 0.500 0.500 0.500
S 0.243 0.243 0.243
S 0.245 0.743 0.743
S 0.257 0.257 0.755
S 0.257 0.755 0.257
S 0.743 0.245 0.743
S 0.743 0.743 0.245
S 0.755 0.257 0.257
S 0.757 0.757 0.757
```

DFT (PBE) results for a relaxed structure of Na2Y2PaS6. Values from VASP.

Properties
* symmetry: C2/m, No. 12
* ρ: 3.83 Mg/m³
* formation energy from raw total energies: -1.766 eV per atom

Quantum ESPRESSO input file:
```
&SYSTEM
  ibrav = 0, nat = 11, ntyp = 4
/
ATOMIC_SPECIES
Na 22.99 Na.upf
Y 88.91 Y.upf
Pa 231.04 Pa.upf
S 32.06 S.upf
CELL_PARAMETERS angstrom
3.471 -5.988 0.000
3.471 5.988 0.000
-2.320 0.000 6.744
ATOMIC_POSITIONS crystal
Na 0.169 0.831 0.000
Na 0.831 0.169 0.000
Y 0.334 0.666 0.500
Y 0.666 0.334 0.500
Pa 0.000 0.000 0.500
S 0.070 0.403 0.721
S 0.252 0.252 0.279
S 0.403 0.070 0.721
S 0.597 0.930 0.279
S 0.748 0.748 0.721
S 0.930 0.597 0.279
```

DFT (PBE) results for a relaxed structure of NaY2PaS6. Values from VASP.

Properties
* symmetry: R3, No. 146
* ρ: 3.98 Mg/m³
* formation energy from raw total energies: -1.773 eV per atom

Quantum ESPRESSO input file:
```
&SYSTEM
  ibrav = 0, nat = 10, ntyp = 4
/
ATOMIC_SPECIES
Na 22.99 Na.upf
Y 88.91 Y.upf
Pa 231.04 Pa.upf
S 32.06 S.upf
CELL_PARAMETERS angstrom
3.475 2.006 6.229
-3.475 2.006 6.229
0.000 -4.013 6.229
ATOMIC_POSITIONS crystal
Na 0.000 0.000 0.000
Y 0.285 0.285 0.285
Y 0.795 0.795 0.795
Pa 0.482 0.482 0.482
S 0.086 0.663 0.419
S 0.209 0.576 0.873
S 0.419 0.086 0.663
S 0.576 0.873 0.209
S 0.663 0.419 0.086
S 0.873 0.209 0.576
```

DFT (PBE) results for a relaxed structure of Na2PaZnS4. Values from VASP.

Properties
* symmetry: P2/m, No. 10
* ρ: 4.50 Mg/m³
* formation energy from raw total energies: -1.197 eV per atom

Quantum ESPRESSO input file:
```
&SYSTEM
  ibrav = 0, nat = 8, ntyp = 4
/
ATOMIC_SPECIES
Na 22.99 Na.upf
Pa 231.04 Pa.upf
Zn 65.41 Zn.upf
S 32.06 S.upf
CELL_PARAMETERS angstrom
6.730 0.000 0.000
0.000 3.831 0.000
-2.376 0.000 6.744
ATOMIC_POSITIONS crystal
Na 0.000 0.000 0.000
Na 0.500 0.500 0.000
Pa 0.000 0.500 0.500
Zn 0.500 0.000 0.500
S 0.240 0.000 0.741
S 0.278 0.500 0.296
S 0.722 0.500 0.704
S 0.760 0.000 0.259
```

DFT (PBE) results for a relaxed structure of Na4Zr3PaS8. Values from VASP.

Properties
* symmetry: R-3m, No. 166
* ρ: 4.27 Mg/m³
* formation energy from raw total energies: -1.489 eV per atom

Quantum ESPRESSO input file:
```
&SYSTEM
  ibrav = 0, nat = 16, ntyp = 4
/
ATOMIC_SPECIES
Na 22.99 Na.upf
Zr 91.22 Zr.upf
Pa 231.04 Pa.upf
S 32.06 S.upf
CELL_PARAMETERS angstrom
3.730 2.153 6.888
-3.730 2.153 6.888
0.000 -4.307 6.888
ATOMIC_POSITIONS crystal
Na 0.000 0.000 0.000
Na 0.000 0.500 0.500
Na 0.500 0.000 0.500
Na 0.500 0.500 0.000
Zr 0.000 0.000 0.500
Zr 0.000 0.500 0.000
Zr 0.500 0.000 0.000
Pa 0.500 0.500 0.500
S 0.235 0.747 0.747
S 0.241 0.241 0.241
S 0.253 0.253 0.765
S 0.253 0.765 0.253
S 0.747 0.235 0.747
S 0.747 0.747 0.235
S 0.759 0.759 0.759
S 0.765 0.253 0.253
```

DFT (PBE) results for a relaxed structure of Na3Zr3PaS8. Values from VASP.

Properties
* symmetry: R-3m, No. 166
* ρ: 4.16 Mg/m³
* formation energy from raw total energies: -1.510 eV per atom

Quantum ESPRESSO input file:
```
&SYSTEM
  ibrav = 0, nat = 15, ntyp = 4
/
ATOMIC_SPECIES
Na 22.99 Na.upf
Zr 91.22 Zr.upf
Pa 231.04 Pa.upf
S 32.06 S.upf
CELL_PARAMETERS angstrom
3.722 2.149 6.901
-3.722 2.149 6.901
0.000 -4.298 6.901
ATOMIC_POSITIONS crystal
Na 0.000 0.500 0.500
Na 0.500 0.000 0.500
Na 0.500 0.500 0.000
Zr 0.000 0.000 0.500
Zr 0.000 0.500 0.000
Zr 0.500 0.000 0.000
Pa 0.500 0.500 0.500
S 0.231 0.747 0.747
S 0.241 0.241 0.241
S 0.253 0.253 0.769
S 0.253 0.769 0.253
S 0.747 0.231 0.747
S 0.747 0.747 0.231
S 0.759 0.759 0.759
S 0.769 0.253 0.253
```

DFT (PBE) results for a relaxed structure of NaZrPaS4. Values from VASP.

Properties
* symmetry: Imma, No. 74
* ρ: 4.48 Mg/m³
* formation energy from raw total energies: -1.509 eV per atom

Quantum ESPRESSO input file:
```
&SYSTEM
  ibrav = 0, nat = 14, ntyp = 4
/
ATOMIC_SPECIES
Na 22.99 Na.upf
Zr 91.22 Zr.upf
Pa 231.04 Pa.upf
S 32.06 S.upf
CELL_PARAMETERS angstrom
-3.818 4.189 5.487
3.818 -4.189 5.487
3.818 4.189 -5.487
ATOMIC_POSITIONS crystal
Na 0.394 0.144 0.250
Na 0.606 0.856 0.750
Zr 0.000 0.000 0.500
Zr 0.000 0.500 0.000
Pa 0.000 0.500 0.500
Pa 0.500 0.500 0.000
S 0.210 0.745 0.464
S 0.219 0.255 0.964
S 0.239 0.261 0.522
S 0.239 0.717 0.978
S 0.761 0.283 0.022
S 0.761 0.739 0.478
S 0.781 0.745 0.036
S 0.790 0.255 0.536
```

DFT (PBE) results for a relaxed structure of Na2ZrPaS4. Values from VASP.

Properties
* symmetry: P2/m, No. 10
* ρ: 4.82 Mg/m³
* formation energy from raw total energies: -1.474 eV per atom

Quantum ESPRESSO input file:
```
&SYSTEM
  ibrav = 0, nat = 8, ntyp = 4
/
ATOMIC_SPECIES
Na 22.99 Na.upf
Zr 91.22 Zr.upf
Pa 231.04 Pa.upf
S 32.06 S.upf
CELL_PARAMETERS angstrom
6.512 0.000 0.000
0.000 3.795 0.000
-2.185 0.000 6.914
ATOMIC_POSITIONS crystal
Na 0.000 0.000 0.000
Na 0.500 0.500 0.000
Zr 0.000 0.500 0.500
Pa 0.500 0.000 0.500
S 0.234 0.000 0.726
S 0.247 0.500 0.265
S 0.753 0.500 0.735
S 0.766 0.000 0.274
```

DFT (PBE) results for a relaxed structure of NaPaSb2. Values from VASP.

Properties
* symmetry: Fm-3m, No. 225
* ρ: 7.84 Mg/m³
* formation energy from raw total energies: -0.319 eV per atom
* energy above the lowest structure with this stoichiometry: 79 meV per atom

Quantum ESPRESSO input file:
```
&SYSTEM
  ibrav = 0, nat = 4, ntyp = 3
/
ATOMIC_SPECIES
Na 22.99 Na.upf
Pa 231.04 Pa.upf
Sb 121.76 Sb.upf
CELL_PARAMETERS angstrom
0.000 3.749 3.749
3.749 0.000 3.749
3.749 3.749 0.000
ATOMIC_POSITIONS crystal
Na 0.000 0.000 0.000
Pa 0.500 0.500 0.500
Sb 0.250 0.250 0.250
Sb 0.750 0.750 0.750
```

DFT (PBE) results for a relaxed structure of NaPaSb2. Values from VASP.

Properties
* symmetry: R-3m, No. 166
* ρ: 6.44 Mg/m³
* formation energy from raw total energies: -0.398 eV per atom
* energy above the lowest structure with this stoichiometry: 0 meV per atom

Quantum ESPRESSO input file:
```
&SYSTEM
  ibrav = 0, nat = 4, ntyp = 3
/
ATOMIC_SPECIES
Na 22.99 Na.upf
Pa 231.04 Pa.upf
Sb 121.76 Sb.upf
CELL_PARAMETERS angstrom
2.265 1.308 7.218
-2.265 1.308 7.218
0.000 -2.615 7.218
ATOMIC_POSITIONS crystal
Na 0.000 0.000 0.000
Pa 0.500 0.500 0.500
Sb 0.240 0.240 0.240
Sb 0.760 0.760 0.760
```

DFT (PBE) results for a relaxed structure of NaPaSb2. Values from VASP.

Properties
* symmetry: R3m, No. 160
* ρ: 6.38 Mg/m³
* formation energy from raw total energies: -0.385 eV per atom
* energy above the lowest structure with this stoichiometry: 13 meV per atom

Quantum ESPRESSO input file:
```
&SYSTEM
  ibrav = 0, nat = 4, ntyp = 3
/
ATOMIC_SPECIES
Na 22.99 Na.upf
Pa 231.04 Pa.upf
Sb 121.76 Sb.upf
CELL_PARAMETERS angstrom
2.236 1.291 7.478
-2.236 1.291 7.478
0.000 -2.582 7.478
ATOMIC_POSITIONS crystal
Na 0.000 0.000 0.000
Pa 0.172 0.172 0.172
Sb 0.578 0.578 0.578
Sb 0.764 0.764 0.764
```